Density functional theory data (PBE+U) for crystalline BeNiGe2F at its relaxed geometry.

Properties
- E_tot: -15.7 eV per cell
- Calculated density: 4.89 Mg/m³
- Symmetry: P4/mmm (123)

POSCAR file:
```
BeNiGe2F
1.0
-0.520 0.628 -4.231
2.618 -3.242 -0.803
-3.351 -2.708 0.010
Ge Be F Ni
2 1 1 1
Direct
0.000 0.000 0.500
0.500 0.000 0.000
0.000 0.000 0.000
0.500 0.500 0.500
0.000 0.500 0.000
```